## one
The following is a DFT calculation (PBE) of a geometry-optimized AsICl3 structure.

a = 6.0183 Å, b = 7.7000 Å, c = 8.1111 Å
α = 88.06°, β = 82.72°, γ = 89.68°
Fractional coordinates of all 10 atoms:
As1 0.0000 0.0000 0.0000
As2 0.5004 0.0877 0.4982
I1 0.0360 0.7717 0.7021
I2 0.5327 0.3159 0.1856
Cl1 0.0400 0.2894 0.1561
Cl2 0.2987 0.2516 0.6819
Cl3 0.3191 0.9023 0.0616
Cl4 0.5434 0.7982 0.6716
Cl5 0.7984 0.8360 0.1938
Cl6 0.8193 0.1857 0.5530

Output
The crystal system is triclinic. Its space group is P1, No. 1.

## two
The following is a DFT calculation (PBE) of a geometry-optimized AsICl3 structure.

a = 5.1086 Å, b = 5.1086 Å, c = 5.1086 Å
α = 90.00°, β = 90.00°, γ = 90.00°
Fractional coordinates of all 5 atoms:
As1 0.0000 0.0000 0.0000
I1 0.5000 0.5000 0.5000
Cl1 0.0000 0.0000 0.5000
Cl2 0.0000 0.5000 0.0000
Cl3 0.5000 0.0000 0.0000

Output
The crystal system is cubic. Its space group is Pm-3m, No. 221.

Relative to the most stable structure, the computed energies are one 0; two 318, all in meV per atom.

## one
The following is a DFT calculation (PBE) of a geometry-optimized AsI3Cl structure.

a = 5.7597 Å, b = 5.7597 Å, c = 5.7597 Å
α = 90.00°, β = 90.00°, γ = 90.00°
Fractional coordinates of all 5 atoms:
As1 0.0000 0.0000 0.0000
I1 0.0000 0.5000 0.5000
I2 0.5000 0.0000 0.5000
I3 0.5000 0.5000 0.0000
Cl1 0.5000 0.5000 0.5000

Output
The crystal system is cubic. Its space group is Pm-3m, No. 221.

## two
The following is a DFT calculation (PBE) of a geometry-optimized AsI3Cl structure.

a = 5.6739 Å, b = 5.6739 Å, c = 5.6739 Å
α = 90.00°, β = 90.00°, γ = 90.00°
Fractional coordinates of all 5 atoms:
As1 0.0000 0.0000 0.0000
I1 0.0000 0.0000 0.5000
I2 0.0000 0.5000 0.0000
I3 0.5000 0.0000 0.0000
Cl1 0.5000 0.5000 0.5000

Output
The crystal system is cubic. Its space group is Pm-3m, No. 221.

Relative to the most stable structure, the computed energies are one 602; two 0, all in meV per atom.

## one
The following is a DFT calculation (PBE) of a geometry-optimized AsIN2Cl structure.

a = 3.8483 Å, b = 3.8483 Å, c = 7.6338 Å
α = 90.00°, β = 90.00°, γ = 90.00°
Fractional coordinates of all 5 atoms:
As1 0.0000 0.0000 0.0000
I1 0.0000 0.0000 0.5000
N1 0.0000 0.5000 0.0000
N2 0.5000 0.0000 0.0000
Cl1 0.5000 0.5000 0.5000

Output
The crystal system is tetragonal. Its space group is P4/mmm, No. 123.

## two
The following is a DFT calculation (PBE) of a geometry-optimized AsIN2Cl structure.

a = 4.1464 Å, b = 4.1464 Å, c = 7.8305 Å
α = 90.00°, β = 90.00°, γ = 90.00°
Fractional coordinates of all 5 atoms:
As1 0.0000 0.0000 0.0000
I1 0.5000 0.5000 0.0000
N1 0.0000 0.5000 0.5000
N2 0.5000 0.0000 0.5000
Cl1 0.5000 0.5000 0.5000

Output
The crystal system is tetragonal. Its space group is P4/mmm, No. 123.

Relative to the most stable structure, the computed energies are one 0; two 845, all in meV per atom.

## one
The following is a DFT calculation (PBE) of a geometry-optimized AsPICl2 structure.

a = 4.7708 Å, b = 4.7708 Å, c = 5.6668 Å
α = 90.00°, β = 90.00°, γ = 90.00°
Fractional coordinates of all 5 atoms:
As1 0.0000 0.0000 0.0000
P1 0.0000 0.0000 0.5000
I1 0.5000 0.5000 0.5000
Cl1 0.0000 0.5000 0.0000
Cl2 0.5000 0.0000 0.0000

Output
The crystal system is tetragonal. Its space group is P4/mmm, No. 123.

## two
The following is a DFT calculation (PBE) of a geometry-optimized AsPICl2 structure.

a = 5.3637 Å, b = 5.3637 Å, c = 5.5680 Å
α = 90.00°, β = 90.00°, γ = 90.00°
Fractional coordinates of all 5 atoms:
As1 0.0000 0.0000 0.0000
P1 0.5000 0.5000 0.0000
I1 0.5000 0.5000 0.5000
Cl1 0.0000 0.5000 0.5000
Cl2 0.5000 0.0000 0.5000

Output
The crystal system is tetragonal. Its space group is P4/mmm, No. 123.

Relative to the most stable structure, the computed energies are one 0; two 716, all in meV per atom.